# MnTl2VO

An optimized crystal structure of MnTl2VO (GGA+U, the Alexandria database).

Summary:
Calculated volume in Å³/f.u.: 119
Total DFT energy (no corrections) in eV/atom: -4.4769

Cell lengths 5.7396, 5.7396, 3.6157 Å; angles 90.00, 90.00, 90.00 degrees
Space group P4/mmm (No. 123)
One atom of each set of equivalent atoms:
Mn 0.0000 0.0000 0.0000 (multiplicity 1)
Tl 0.0000 0.5000 0.0000 (multiplicity 2)
V 0.5000 0.5000 0.5000 (multiplicity 1)
O 0.0000 0.0000 0.5000 (multiplicity 1)